Entry 1:
VASP calculation (GGA-PBE) on AcCuGe2 after structural relaxation.

Total energy (eV per cell): -37.41
ΔE to the lowest computed polymorph (meV per atom): 213

a b c (Å): 4.4382 5.9466 7.6246
angles (deg): 90.00 90.00 90.00
Space group Amm2 (No. 38)
One atom of each set of equivalent atoms:
Ac: 0.0000 0.0000 0.0000 x2
Cu: 0.5000 0.0000 0.5687 x2
Ge: 0.5000 0.2056 0.2851 x4



Entry 2:
VASP calculation (GGA-PBE) on Na2ZrNpO6 after structural relaxation.

Total energy (eV per cell): -80.31
Raw formation energy (eV/atom): -2.6430

a b c (Å): 5.8826 5.8826 4.2144
angles (deg): 90.00 90.00 90.00
Space group P4mm (No. 99)
One atom of each set of equivalent atoms:
Na: 0.0000 0.5000 0.0000 x2
Zr: 0.0000 0.0000 0.5444 x1
Np: 0.5000 0.5000 0.5685 x1
O: 0.0000 0.0000 0.0655 x1
O: 0.2553 0.2553 0.5819 x4
O: 0.5000 0.5000 0.0699 x1



Values of M_tot, in order: 0.00; 1.00, all in μB per formula unit.